# 1
{
  "formula": "GeH5Rh4",
  "functional": "PBE",
  "state": "optimized geometry",
  "total_energy_ev_per_cell": -101.9,
  "space_group": "Pmmn",
  "n_ef_per_ev_cell": 9.01,
  "vol_a3_per_cell": 186,
  "lattice": [[-3.383, -0.761, -2.087], [0.492, -5.501, 1.208], [-4.397, 1.085, 6.732]],
  "species": ["H", "H", "H", "Ge", "H", "H", "Rh", "Ge", "Rh", "Rh", "Rh", "Rh", "H", "H", "H", "Rh", "H", "H", "Rh", "Rh"],
  "fractional_positions": [[0.764, 0.791, 0.300], [0.236, 0.709, 0.800], [0.236, 0.291, 0.200], [0.887, 0.000, 0.000], [0.693, 0.500, 0.000], [0.764, 0.209, 0.300], [0.110, 0.000, 0.290], [0.113, 0.500, 0.500], [0.890, 0.500, 0.210], [0.890, 0.500, 0.790], [0.403, 0.747, 0.000], [0.597, 0.753, 0.500], [0.236, 0.291, 0.800], [0.236, 0.709, 0.200], [0.307, 0.000, 0.500], [0.110, 0.000, 0.710], [0.764, 0.791, 0.700], [0.764, 0.209, 0.700], [0.597, 0.247, 0.500], [0.403, 0.253, 0.000]]
}

***

# 2
{
  "formula": "Rb2CeNd2S6",
  "functional": "PBE",
  "state": "optimized geometry",
  "raw_formation_energy_ev_per_atom": -1.82,
  "space_group": "C2/m",
  "vol_a3_per_cell": 353,
  "lattice": [[-2.811, -6.622, 0.389], [7.153, 0.842, -0.184], [-1.306, 2.338, 7.754]],
  "species": ["Nd", "Nd", "S", "S", "S", "S", "Rb", "S", "S", "Rb", "Ce"],
  "fractional_positions": [[0.334, 0.666, 0.500], [0.666, 0.334, 0.500], [0.744, 0.744, 0.688], [0.061, 0.387, 0.688], [0.256, 0.256, 0.312], [0.939, 0.613, 0.312], [0.169, 0.831, 0.000], [0.387, 0.061, 0.688], [0.613, 0.939, 0.312], [0.831, 0.169, 0.000], [0.000, 0.000, 0.500]]
}

***

# 3
{
  "formula": "GdGa4Ge",
  "functional": "PBE",
  "state": "optimized geometry",
  "total_energy_ev_per_cell": -32.0,
  "space_group": "F-43m",
  "n_ef_per_ev_cell": 3.02,
  "vol_a3_per_cell": 118,
  "lattice": [[-1.058, 5.166, 1.593], [-3.784, 2.984, -2.668], [-4.787, 1.202, 2.447]],
  "species": ["Gd", "Ga", "Ga", "Ga", "Ge", "Ga"],
  "fractional_positions": [[0.250, 0.250, 0.250], [0.124, 0.625, 0.625], [0.625, 0.625, 0.124], [0.625, 0.625, 0.625], [0.000, 0.000, 0.000], [0.625, 0.124, 0.625]]
}